Entry 1:
14
Lattice="-6.220 0.933 -4.958 2.574 -7.578 -0.297 -2.316 1.772 7.459" Properties=species:S:1:pos:R:3 comment="Dy8ZnIn5 | Alexandria | PBE | relaxed" n_ef_per_ev_cell=18.55 formation_energy_mev_per_atom=-277 pbc="T T T"
In -5.498 -1.687 -4.128
In -2.050 -0.606 -1.872
In -4.477 -2.952 0.727
In -3.803 -5.339 -2.736
In -4.268 1.353 1.251
Zn -2.005 -2.226 4.206
Dy -5.106 -0.497 -1.125
Dy -1.875 -3.700 -0.879
Dy -7.536 1.358 0.507
Dy 1.097 -5.478 -0.747
Dy -1.913 -1.025 1.443
Dy -4.836 -0.935 3.302
Dy -3.571 -4.599 3.205
Dy -0.107 -4.613 3.110

=====

Entry 2:
16
Lattice="-1.189 6.392 -3.120 1.629 -5.741 -4.048 -10.900 -2.463 -0.893" Properties=species:S:1:pos:R:3 comment="AcEr14Tm | Alexandria | PBE | relaxed" n_ef_per_ev_cell=25.13 formation_energy_mev_per_atom=13 pbc="T T T"
Er 0.345 -0.844 -1.881
Er -4.885 -1.754 -5.900
Er -8.026 -0.346 -5.948
Er -3.443 3.754 -3.498
Er -4.291 -4.951 -4.340
Er 0.563 -0.521 -5.440
Er -8.244 -0.668 -2.397
Er -2.095 -2.309 -3.965
Er -7.434 -3.515 -4.402
Er -5.105 -2.079 -2.315
Er -2.682 0.862 -5.511
Er -5.700 1.118 -3.876
Er -8.895 2.522 -3.944
Er -2.900 0.539 -1.959
Ac 1.159 -3.718 -3.893
Tm -0.247 2.336 -3.430

=====

Entry 3:
12
Lattice="7.911 -0.007 -0.003 -3.960 6.849 -0.003 -1.321 -2.287 8.114" Properties=species:S:1:pos:R:3 comment="K3ZrBi2Te6 | Alexandria | PBE | relaxed" n_ef_per_ev_cell=4.84 raw_formation_energy_mev_per_atom=-716.1 pbc="T T T"
Bi 0.009 4.557 -0.003
Bi 3.942 2.285 -0.003
Zr 0.000 0.000 0.000
K 5.193 0.038 4.055
K -2.562 4.517 4.055
K 1.315 2.278 4.055
Te 3.876 2.407 6.463
Te 2.714 4.700 1.661
Te -0.084 -0.145 6.448
Te 0.147 4.560 6.463
Te -1.245 2.149 1.646
Te 2.483 -0.005 1.646